This record from the Alexandria database describes a geometry-optimized TlSn2Se3 structure. The functional is GGA-PBE.

Computed properties:
The total energy is -3.837 eV/atom. As for the formation energy from raw total energies: -0.37 eV per atom. The value obtained for the density of states at the Fermi level is 4.7 states/eV/cell. The value obtained for the offset from the most stable computed form is 0.028 eV per atom.

```
data_TlSn2Se3
_space_group_name_H-M_alt 'P m c 21'
_space_group_IT_number 26
_space_group_name_Hall 'P 2c -2'
_cell_length_a 3.956
_cell_length_b 11.497
_cell_length_c 7.816
_cell_angle_alpha 90.00
_cell_angle_beta 90.00
_cell_angle_gamma 90.00
loop_
_atom_site_label
_atom_site_type_symbol
_atom_site_fract_x
_atom_site_fract_y
_atom_site_fract_z
Tl1 Tl 0.000 0.142 0.000
Sn1 Sn 0.000 0.197 0.491
Sn2 Sn 0.500 0.499 0.512
Se1 Se 0.000 0.384 0.708
Se2 Se 0.500 0.072 0.665
Se3 Se 0.500 0.304 0.262
```